First-principles (GGA-PBE) data for a relaxed CaDyY2Sb4 crystal, as listed in Alexandria via LeMat-Bulk.

* raw formation energy: -1.05 eV per atom
* volume: 245 Å³/cell

Unit cell a=4.388 b=7.680 c=7.678 alpha=70.92 beta=90.00 gamma=90.00
Element x y z (fractional)
Ca 0.500 0.500 0.000
Dy 0.000 0.500 0.500
Y 0.000 0.000 0.000
Y 0.500 0.000 0.500
Sb 0.000 0.756 0.744
Sb 0.000 0.244 0.256
Sb 0.500 0.752 0.253
Sb 0.500 0.248 0.747

=====

First-principles (GGA-PBE) data for a relaxed KOsPb2 crystal, as listed in Alexandria via LeMat-Bulk.

* formation energy from the elements: 515 meV per atom
* volume: 119 Å³/cell
* energy above the lowest structure with this stoichiometry: 150 meV/atom

Unit cell a=8.741 b=8.741 c=8.741 alpha=158.12 beta=151.36 gamma=36.33
Element x y z (fractional)
K 0.432 0.432 0.000
Os 0.220 0.720 0.500
Pb 0.087 0.087 0.000
Pb 0.761 0.261 0.500

=====

First-principles (GGA-PBE) data for a relaxed La2CeSb3Pt4 crystal, as listed in Alexandria via LeMat-Bulk.

* raw formation energy: -0.95 eV per atom
* volume: 243 Å³/cell

Unit cell a=4.626 b=4.626 c=11.367 alpha=90.00 beta=90.00 gamma=90.00
Site moments in Bohr magnetons follow the coordinates.
Element x y z (fractional)
La 0.500 0.000 0.212  0.01
La 0.000 0.500 0.788  0.01
Ce 0.500 0.500 0.500  0.66
Sb 0.000 0.000 0.500  -0.01
Sb 0.500 0.000 0.874  0.00
Sb 0.000 0.500 0.126  0.00
Pt 0.500 0.500 0.000  0.00
Pt 0.000 0.000 0.000  -0.01
Pt 0.500 0.000 0.645  0.00
Pt 0.000 0.500 0.355  0.00

=====

First-principles (GGA-PBE) data for a relaxed BaAuCl crystal, as listed in Alexandria via LeMat-Bulk.

* raw formation energy: -1.33 eV per atom
* volume: 119 Å³/cell
* energy above the lowest structure with this stoichiometry: 242 meV/atom

Unit cell a=4.848 b=4.848 c=5.846 alpha=90.00 beta=90.00 gamma=120.00
Element x y z (fractional)
Au 0.000 0.000 0.053
Ba 0.667 0.333 0.360
Cl 0.333 0.667 0.587

=====

First-principles (GGA-PBE) data for a relaxed ThMgIn crystal, as listed in Alexandria via LeMat-Bulk.

* formation energy from the elements: -211 meV per atom
* volume: 80 Å³/cell

Unit cell a=3.657 b=5.037 c=5.037 alpha=120.00 beta=90.00 gamma=90.00
Element x y z (fractional)
Mg 0.167 0.667 0.333
Th 0.667 0.333 0.667
In 0.167 0.000 0.000

=====

First-principles (GGA-PBE) data for a relaxed Nd4Sm5Dy2 crystal, as listed in Alexandria via LeMat-Bulk.

* formation energy from the elements: 243 meV per atom
* volume: 387 Å³/cell
* energy above the lowest structure with this stoichiometry: 144 meV/atom

Unit cell a=3.533 b=9.407 c=12.678 alpha=111.78 beta=98.01 gamma=90.00
Element x y z (fractional)
Nd 0.000 0.297 0.000
Nd 0.596 0.596 0.192
Nd 0.000 0.703 0.000
Nd 0.404 0.404 0.808
Sm 0.850 0.053 0.700
Sm 0.850 0.647 0.700
Sm 0.150 0.353 0.300
Sm 0.150 0.947 0.300
Sm 0.500 0.000 0.000
Dy 0.270 0.270 0.540
Dy 0.730 0.730 0.460

=====

Q: Number 1 is which compound?
A: CaDyY2Sb4